a.
Pm2CdBr, relaxed, DFT PBE; D(E_F) = 4.3 states/eV/cell; space group = No. 123
1.0
3.547 0.000 0.000
0.000 3.547 0.000
0.000 0.000 8.667
Pm Cd Br
2 1 1
Direct
0.000 0.000 0.245
0.000 0.000 0.755
0.500 0.500 0.000
0.500 0.500 0.500


b.
Pm2CdBr, relaxed, DFT PBE; D(E_F) = 2.9 states/eV/cell; space group = No. 166
1.0
1.878 1.084 9.520
-1.878 1.084 9.520
0.000 -2.169 9.520
Pm Cd Br
2 1 1
Direct
0.249 0.249 0.249
0.751 0.751 0.751
0.000 0.000 0.000
0.500 0.500 0.500


Energies, relative to the best one, in meV/atom: a 25; b 0.


a.
CdPtBr2, relaxed, DFT PBE; D(E_F) = 1.0 states/eV/cell; space group = No. 71
1.0
-1.809 3.535 4.790
1.809 -3.535 4.790
1.809 3.535 -4.790
Cd Pt Br
1 1 2
Direct
0.000 0.000 0.000
0.500 0.500 0.000
0.323 0.823 0.500
0.677 0.177 0.500


b.
CdPtBr2, relaxed, DFT PBE; D(E_F) = 1.9 states/eV/cell; space group = No. 6
1.0
3.910 0.000 0.000
0.000 3.786 0.000
-1.419 0.000 7.402
Cd Pt Br
1 1 2
Direct
0.000 0.000 0.000
0.467 0.500 0.913
0.346 0.000 0.655
0.684 0.500 0.245


Energies, relative to the best one, in meV/atom: a 201; b 0.


a.
CdPtBr2, relaxed, DFT PBE; D(E_F) = 0.1 states/eV/cell; space group = No. 122
1.0
-3.128 3.128 6.097
3.128 -3.128 6.097
3.128 3.128 -6.097
Cd Pt Br
2 2 4
Direct
0.000 0.000 0.000
0.750 0.250 0.500
0.250 0.750 0.500
0.500 0.500 0.000
0.151 0.625 0.026
0.375 0.401 0.526
0.599 0.125 0.974
0.875 0.849 0.474


b.
CdPtBr2, relaxed, DFT PBE; space group = No. 99
1.0
3.759 0.000 0.000
0.000 3.759 0.000
0.000 0.000 7.372
Cd Pt Br
1 1 2
Direct
0.000 0.000 0.000
0.500 0.500 0.117
0.000 0.000 0.370
0.500 0.500 0.779


Energies, relative to the best one, in meV/atom: a 235; b 0.


a.
CdPtBr2, relaxed, DFT PBE; D(E_F) = 3.5 states/eV/cell; space group = No. 123
1.0
3.570 0.000 0.000
0.000 3.570 0.000
0.000 0.000 6.918
Cd Pt Br
1 1 2
Direct
0.000 0.000 0.000
0.000 0.000 0.500
0.500 0.500 0.251
0.500 0.500 0.749


b.
CdPtBr2, relaxed, DFT PBE; D(E_F) = 2.7 states/eV/cell; space group = No. 166
1.0
1.938 1.119 9.713
-1.938 1.119 9.713
0.000 -2.238 9.713
Cd Pt Br
1 1 2
Direct
0.000 0.000 0.000
0.500 0.500 0.500
0.116 0.116 0.116
0.884 0.884 0.884


Energies, relative to the best one, in meV/atom: a 206; b 0.


a.
CdPt2Br, relaxed, DFT PBE; D(E_F) = 3.0 states/eV/cell; space group = No. 65
1.0
2.973 -4.117 0.000
2.973 4.117 0.000
0.000 0.000 3.001
Cd Pt Br
1 2 1
Direct
0.000 0.000 0.000
0.000 0.500 0.500
0.500 0.000 0.500
0.500 0.500 0.000


b.
CdPt2Br, relaxed, DFT PBE; D(E_F) = 2.8 states/eV/cell; space group = No. 119
1.0
-2.027 2.027 4.500
2.027 -2.027 4.500
2.027 2.027 -4.500
Cd Pt Br
1 2 1
Direct
0.000 0.000 0.000
0.250 0.750 0.500
0.500 0.500 0.000
0.750 0.250 0.500


Energies, relative to the best one, in meV/atom: a 13; b 0.